A relaxed LiTl2Pb crystal. Source: Alexandria, functional PBE.

Cell: 3.5891 3.5891 29.2925 Å, 90.00 90.00 120.00°
Space group R3m (No. 160, hexagonal axes)
One atom of each set of equivalent atoms:
1 Li 0.0000 0.0000 0.0000 (multiplicity 3)
2 Tl 0.0000 0.0000 0.4087 (multiplicity 3)
3 Tl 0.0000 0.0000 0.5933 (multiplicity 3)
4 Pb 0.0000 0.0000 0.8353 (multiplicity 3)

* crystal system: trigonal
* relative energy among the computed polymorphs: 0.035 eV/atom
* calculated formation energy: -5.69 kJ per mole of atoms